Run one
PrHo2Zn | PBE-GGA | optimized geometry

abc: 4.777 4.777 4.810
angles: 90.00 90.00 90.00
Space group P4/mmm (No. 123)
Symmetry-distinct sites (fractional):
Pr: 0.000 0.000 0.000 x1
Ho: 0.000 0.500 0.500 x2
Zn: 0.500 0.500 0.000 x1

Values from the calculation:
V ... 27.44 Å³/atom
M_tot ... 0.00 μB per formula unit

=====

Run two
PrHo2Zn | PBE-GGA | optimized geometry

abc: 5.3073 5.3073 13.5801
angles: 90.00 90.00 120.00
Space group R-3m (No. 166, hexagonal axes)
Symmetry-distinct sites (fractional):
Pr: 0.0000 0.0000 0.0000 x3
Ho: 0.0000 0.0000 0.2417 x6
Zn: 0.0000 0.0000 0.5000 x3

Values from the calculation:
V ... 27.61 Å³/atom
M_tot ... 0.00 μB per formula unit

=====

Result of the stability comparison: run two is the least stable of them.

=====

Run one
PrHo2Zn | PBE-GGA | optimized geometry

abc: 3.6157 3.6157 31.0157
angles: 90.00 90.00 120.00
Space group R3m (No. 160, hexagonal axes)
Symmetry-distinct sites (fractional):
Pr: 0.0000 0.0000 0.0000 x3
Ho: 0.0000 0.0000 0.5691 x3
Ho: 0.0000 0.0000 0.7631 x3
Zn: 0.0000 0.0000 0.1657 x3

Values from the calculation:
V ... 29.26 Å³/atom
M_tot ... 0.00 μB per formula unit

=====

Run two
PrHo2Zn | PBE-GGA | optimized geometry

abc: 3.582 3.582 8.740
angles: 90.00 90.00 90.00
Space group P4/mmm (No. 123)
Symmetry-distinct sites (fractional):
Pr: 0.000 0.000 0.000 x1
Ho: 0.500 0.500 0.299 x2
Zn: 0.000 0.000 0.500 x1

Values from the calculation:
V ... 28.04 Å³/atom
M_tot ... 0.00 μB per formula unit

=====

Result of the stability comparison: run one is the least stable of them.

=====

Run one
PrHo2Zn2 | PBE-GGA | optimized geometry

abc: 3.634 5.248 13.431
angles: 90.00 97.78 90.00
Space group P2_1/m (No. 11)
Symmetry-distinct sites (fractional):
Pr: 0.144 0.250 0.286 x2
Ho: 0.047 0.750 0.093 x2
Ho: 0.233 0.750 0.465 x2
Zn: 0.359 0.250 0.719 x2
Zn: 0.455 0.750 0.909 x2

Values from the calculation:
V ... 25.38 Å³/atom
M_tot ... 0.00 μB per formula unit

=====

Run two
PrHo2Zn2 | PBE-GGA | optimized geometry

abc: 5.237 15.426 6.270
angles: 90.00 90.00 90.00
Space group Cmc2_1 (No. 36)
Symmetry-distinct sites (fractional):
Pr: 0.000 0.085 0.000 x4
Ho: 0.000 0.299 0.764 x4
Ho: 0.000 0.459 0.142 x4
Zn: 0.000 0.130 0.496 x4
Zn: 0.000 0.282 0.271 x4

Values from the calculation:
V ... 25.32 Å³/atom
M_tot ... 0.00 μB per formula unit

=====

Result of the stability comparison: run two is the least stable of them.

=====

Run one
Pr2HoZn | PBE-GGA | optimized geometry

abc: 3.688 3.688 8.763
angles: 90.00 90.00 90.00
Space group P4/mmm (No. 123)
Symmetry-distinct sites (fractional):
Pr: 0.000 0.000 0.213 x2
Ho: 0.500 0.500 0.500 x1
Zn: 0.500 0.500 0.000 x1

Values from the calculation:
V ... 29.79 Å³/atom
M_tot ... 0.00 μB per formula unit

=====

Run two
Pr2HoZn | PBE-GGA | optimized geometry

abc: 5.174 5.174 17.544
angles: 90.00 90.00 90.00
Space group I4/mmm (No. 139)
Symmetry-distinct sites (fractional):
Pr: 0.000 0.000 0.145 x4
Pr: 0.000 0.500 0.000 x4
Ho: 0.000 0.000 0.349 x4
Zn: 0.000 0.500 0.250 x4

Values from the calculation:
V ... 29.36 Å³/atom
M_tot ... 0.00 μB per formula unit

=====

Result of the stability comparison: run one is the least stable of them.

=====

Run one
PrHoZn | PBE-GGA | optimized geometry

abc: 3.644 3.644 12.387
angles: 90.00 90.00 90.00
Space group I4mm (No. 107)
Symmetry-distinct sites (fractional):
Pr: 0.000 0.000 0.000 x2
Ho: 0.000 0.000 0.288 x2
Zn: 0.000 0.000 0.659 x2

Values from the calculation:
V ... 27.42 Å³/atom
M_tot ... 0.00 μB per formula unit

=====

Run two
PrHoZn | PBE-GGA | optimized geometry

abc: 5.0214 5.0214 3.8539
angles: 90.00 90.00 120.00
Space group P3m1 (No. 156)
Symmetry-distinct sites (fractional):
Pr: 0.0000 0.0000 0.0000 x1
Ho: 0.3333 0.6667 0.5159 x1
Zn: 0.6667 0.3333 0.4399 x1

Values from the calculation:
V ... 28.05 Å³/atom
M_tot ... 0.00 μB per formula unit

=====

Result of the stability comparison: run two is the least stable of them.

=====

Run one
Pr4HoZn | PBE-GGA | optimized geometry

abc: 3.692 3.692 14.050
angles: 90.00 90.00 90.00
Space group P4/mmm (No. 123)
Symmetry-distinct sites (fractional):
Pr: 0.000 0.000 0.132 x2
Pr: 0.500 0.500 0.322 x2
Ho: 0.000 0.000 0.500 x1
Zn: 0.500 0.500 0.000 x1

Values from the calculation:
V ... 31.92 Å³/atom
M_tot ... 0.00 μB per formula unit

=====

Run two
Pr4HoZn | PBE-GGA | optimized geometry

abc: 9.127 13.879 6.423
angles: 90.00 108.75 90.00
Space group C2/c (No. 15)
Symmetry-distinct sites (fractional):
Pr: 0.104 0.183 0.052 x8
Pr: 0.220 0.390 0.375 x8
Ho: 0.000 0.406 0.750 x4
Zn: 0.000 0.001 0.750 x4

Values from the calculation:
V ... 32.10 Å³/atom
M_tot ... 0.00 μB per formula unit

=====

Result of the stability comparison: run two is the least stable of them.

=====

Run one
HoPt4 | PBE-GGA | optimized geometry

abc: 4.286 5.779 14.017
angles: 90.00 90.00 90.00
Space group Imma (No. 74)
Symmetry-distinct sites (fractional):
Ho: 0.000 0.250 0.107 x4
Pt: 0.000 0.000 0.500 x4
Pt: 0.000 0.014 0.694 x8
Pt: 0.000 0.250 0.894 x4

Values from the calculation:
V ... 17.36 Å³/atom
M_tot ... 0.00 μB per formula unit

=====

Run two
HoPt4 | PBE-GGA | optimized geometry

abc: 4.950 4.950 4.950
angles: 90.00 90.00 90.00
Space group Pm-3m (No. 221)
Symmetry-distinct sites (fractional):
Ho: 0.000 0.000 0.000 x1
Pt: 0.000 0.000 0.500 x3
Pt: 0.500 0.500 0.500 x1

Values from the calculation:
V ... 24.26 Å³/atom
M_tot ... 0.00 μB per formula unit

=====

Result of the stability comparison: run two is the least stable of them.

=====

Run one
Ho4Pt | PBE-GGA | optimized geometry

abc: 5.446 5.446 5.446
angles: 90.00 90.00 90.00
Space group Pm-3m (No. 221)
Symmetry-distinct sites (fractional):
Ho: 0.000 0.000 0.000 x1
Ho: 0.000 0.500 0.500 x3
Pt: 0.500 0.500 0.500 x1

Values from the calculation:
V ... 32.30 Å³/atom
M_tot ... 0.00 μB per formula unit

=====

Run two
Ho4Pt | PBE-GGA | optimized geometry

abc: 7.665 12.356 7.254
angles: 90.00 121.66 90.00
Space group Cc (No. 9)
Symmetry-distinct sites (fractional):
Ho: 0.000 0.006 0.000 x4
Ho: 0.013 0.454 0.896 x4
Ho: 0.159 0.245 0.317 x4
Ho: 0.275 0.204 0.918 x4
Pt: 0.237 0.376 0.658 x4

Values from the calculation:
V ... 29.24 Å³/atom
M_tot ... 0.00 μB per formula unit

=====

Result of the stability comparison: run one is the least stable of them.

=====

Run one
Ho2PuPt | PBE-GGA | optimized geometry

abc: 3.505 3.505 8.333
angles: 90.00 90.00 90.00
Space group P4/mmm (No. 123)
Symmetry-distinct sites (fractional):
Ho: 0.000 0.000 0.199 x2
Pu: 0.500 0.500 0.500 x1
Pt: 0.500 0.500 0.000 x1

Values from the calculation:
V ... 25.59 Å³/atom
M_tot ... 6.89 μB per formula unit

=====

Run two
Ho2PuPt | PBE-GGA | optimized geometry

abc: 3.7425 3.7425 28.0688
angles: 90.00 90.00 120.00
Space group R-3m (No. 166, hexagonal axes)
Symmetry-distinct sites (fractional):
Ho: 0.0000 0.0000 0.2302 x6
Pu: 0.0000 0.0000 0.0000 x3
Pt: 0.0000 0.0000 0.5000 x3

Values from the calculation:
V ... 28.37 Å³/atom
M_tot ... 7.19 μB per formula unit

=====

Result of the stability comparison: run two is the least stable of them.

=====

Run one
HoPtRh | PBE-GGA | optimized geometry

abc: 3.779 3.865 4.305
angles: 90.00 90.00 90.00
Space group Pmmm (No. 47)
Symmetry-distinct sites (fractional):
Ho: 0.000 0.000 0.000 x1
Pt: 0.000 0.500 0.500 x1
Rh: 0.500 0.000 0.500 x1

Values from the calculation:
V ... 20.96 Å³/atom
M_tot ... 0.00 μB per formula unit

=====

Run two
HoPtRh | PBE-GGA | optimized geometry

abc: 3.505 3.505 9.067
angles: 90.00 90.00 90.00
Space group I4mm (No. 107)
Symmetry-distinct sites (fractional):
Ho: 0.000 0.000 0.000 x2
Pt: 0.000 0.000 0.668 x2
Rh: 0.000 0.000 0.334 x2

Values from the calculation:
V ... 18.56 Å³/atom
M_tot ... 0.00 μB per formula unit

=====

Result of the stability comparison: run one is the least stable of them.

=====

Run one
HoPtRh | PBE-GGA | optimized geometry

abc: 4.089 4.064 6.848
angles: 90.00 90.07 90.00
Space group P2_1/m (No. 11)
Symmetry-distinct sites (fractional):
Ho: 0.249 0.250 0.175 x2
Pt: 0.250 0.750 0.500 x2
Rh: 0.251 0.250 0.774 x2

Values from the calculation:
V ... 18.97 Å³/atom
M_tot ... 0.00 μB per formula unit

=====

Run two
HoPtRh | PBE-GGA | optimized geometry

abc: 4.3489 4.3489 3.6746
angles: 90.00 90.00 120.00
Space group P-6m2 (No. 187)
Symmetry-distinct sites (fractional):
Ho: 0.0000 0.0000 0.0000 x1
Pt: 0.3333 0.6667 0.5000 x1
Rh: 0.6667 0.3333 0.5000 x1

Values from the calculation:
V ... 20.06 Å³/atom
M_tot ... 0.00 μB per formula unit

=====

Result of the stability comparison: run one is the least stable of them.

=====

Run one
Ho7Pt2Rh2 | PBE-GGA | optimized geometry

abc: 3.888 14.956 9.239
angles: 90.00 90.00 90.00
Space group Imm2 (No. 44)
Symmetry-distinct sites (fractional):
Ho: 0.000 0.000 0.000 x2
Ho: 0.000 0.114 0.603 x4
Ho: 0.000 0.311 0.392 x4
Ho: 0.000 0.370 0.762 x4
Pt: 0.000 0.000 0.346 x2
Pt: 0.000 0.500 0.276 x2
Rh: 0.000 0.240 0.095 x4

Values from the calculation:
V ... 24.42 Å³/atom
M_tot ... 0.00 μB per formula unit

=====

Run two
Ho7Pt2Rh2 | PBE-GGA | optimized geometry

abc: 8.273 10.291 6.853
angles: 90.00 90.00 90.00
Space group Cmmm (No. 65)
Symmetry-distinct sites (fractional):
Ho: 0.000 0.000 0.000 x2
Ho: 0.000 0.500 0.255 x4
Ho: 0.250 0.250 0.260 x8
Pt: 0.225 0.000 0.500 x4
Rh: 0.000 0.279 0.000 x4

Values from the calculation:
V ... 26.52 Å³/atom
M_tot ... 0.00 μB per formula unit

=====

Result of the stability comparison: run two is the least stable of them.